[1]
A relaxed structure of AlSiSCl2. Source: Alexandria via LeMat-Bulk, functional PBE.

Summary:
Excess energy over the best structure of this formula in the dataset: 0.0 meV per atom
Energy relative to the elements, uncorrected: -0.184 eV per atom
VASP energy: -17.91 eV/cell
SG: P4/mmm, No. 123
Volume: 22.4 A^3/atom

```
AlSiSCl2
1.0
4.948 0.000 0.000
0.000 4.948 0.000
0.000 0.000 4.573
Al Si S Cl
1 1 1 2
Direct
0.000 0.000 0.000
0.500 0.500 0.500
0.500 0.500 0.000
0.000 0.500 0.500
0.500 0.000 0.500
```

[2]
A relaxed structure of Pr3Er5Tm4. Source: Alexandria via LeMat-Bulk, functional PBE.

Summary:
Excess energy over the best structure of this formula in the dataset: 260.9 meV per atom
VASP energy: -51.62 eV/cell
SG: C2/m, No. 12
Volume: 32.5 A^3/atom

```
Pr3Er5Tm4
1.0
8.806 -2.843 0.000
8.806 2.843 0.000
-3.827 0.000 7.797
Pr Er Tm
3 5 4
Direct
0.000 0.000 0.000
0.315 0.315 0.770
0.685 0.685 0.230
0.092 0.092 0.443
0.163 0.163 0.896
0.500 0.500 0.000
0.837 0.837 0.104
0.908 0.908 0.557
0.288 0.288 0.356
0.460 0.460 0.302
0.540 0.540 0.698
0.712 0.712 0.644
```

[3]
A relaxed structure of Zr2AlAsW. Source: Alexandria via LeMat-Bulk, functional PBE.

Summary:
VASP energy: -33.67 eV/cell
SG: P4/mmm, No. 123
Volume: 22.5 A^3/atom

```
Zr2AlAsW
1.0
4.976 0.000 0.000
0.000 4.976 0.000
0.000 0.000 4.551
Zr Al As W
2 1 1 1
Direct
0.000 0.500 0.000
0.500 0.000 0.000
0.000 0.000 0.000
0.500 0.500 0.500
0.000 0.000 0.500
```

[4]
A relaxed structure of MnCdSiAg2. Source: Alexandria via LeMat-Bulk, functional PBE.

Summary:
Energy relative to the elements, uncorrected: 1.085 eV per atom
VASP energy: -15.79 eV/cell
SG: P4/mmm, No. 123
Volume: 25.5 A^3/atom

```
MnCdSiAg2
1.0
5.134 0.000 0.000
0.000 5.134 0.000
0.000 0.000 4.837
Mn Cd Si Ag
1 1 1 2
Direct
0.000 0.000 0.000
0.500 0.500 0.500
0.500 0.500 0.000
0.000 0.500 0.500
0.500 0.000 0.500
```

[5]
A relaxed structure of Be4Zn. Source: Alexandria via LeMat-Bulk, functional PBE.

Summary:
Excess energy over the best structure of this formula in the dataset: 199.9 meV per atom
VASP energy: -14.33 eV/cell
SG: I4/mmm, No. 139
Volume: 10.1 A^3/atom

```
Be4Zn
1.0
-1.524 1.524 5.451
1.524 -1.524 5.451
1.524 1.524 -5.451
Be Zn
4 1
Direct
0.103 0.103 0.000
0.250 0.750 0.500
0.750 0.250 0.500
0.897 0.897 0.000
0.500 0.500 0.000
```

[6]
A relaxed structure of NaZr2F8. Source: Alexandria via LeMat-Bulk, functional PBE.

Summary:
Excess energy over the best structure of this formula in the dataset: 0.0 meV per atom
Energy relative to the elements, uncorrected: -3.402 eV per atom
VASP energy: -70.81 eV/cell
SG: C2/m, No. 12
Volume: 12.5 A^3/atom

```
NaZr2F8
1.0
3.378 -4.979 0.000
3.378 4.979 0.000
-0.878 0.000 4.083
Na Zr F
1 2 8
Direct
0.000 0.000 0.000
0.318 0.682 0.500
0.682 0.318 0.500
0.053 0.332 0.572
0.254 0.746 0.000
0.332 0.053 0.572
0.398 0.398 0.225
0.602 0.602 0.775
0.668 0.947 0.428
0.746 0.254 0.000
0.947 0.668 0.428
```